5
Lattice="4.035 -5.133 2.948 -0.731 -6.772 2.217 -1.011 5.124 -4.903" Properties=species:S:1:pos:R:3 comment="Ta2Os2W, relaxed, DFT PBE" relative_energy_mev_per_atom=53 formation_enthalpy_0k_ev_per_atom=0.69 pbc="T T T"
Os 2.338 -2.981 0.314
Os -0.045 -3.801 -0.052
Ta 1.320 -4.755 2.063
Ta 1.984 -7.150 3.102
W 0.000 0.000 0.000



4
Lattice="3.582 -2.586 0.107 0.105 -3.729 -2.368 2.621 -0.293 -3.546" Properties=species:S:1:pos:R:3 comment="TaZnOs2, relaxed, DFT PBE" formation_enthalpy_0k_ev_per_atom=0.28 pbc="T T T"
Os 0.000 0.000 0.000
Os 4.731 -4.956 -4.355
Ta 1.577 -1.652 -1.452
Zn 3.154 -3.304 -2.904



7
Lattice="-6.359 3.158 3.158 -3.158 3.158 6.359 -3.158 6.359 3.158" Properties=species:S:1:pos:R:3 comment="Zr2Ta2Os3, relaxed, DFT PBE" formation_enthalpy_0k_ev_per_atom=-0.30 pbc="T T T"
Os -4.746 4.746 4.746
Os -7.933 7.933 7.933
Os -11.114 11.114 11.114
Ta -0.023 0.023 0.023
Ta -6.306 6.306 6.306
Zr -3.099 3.099 3.099
Zr -9.561 9.561 9.561